Entry 1:
The following is a DFT calculation (GGA-PBE) of crystalline ZnCr2 at its relaxed geometry.

Cell lengths 4.4464, 4.4464, 4.4464 Å; angles 148.35, 126.15, 63.82 degrees
Fractional positions:
Cr 0.9957 0.9957 0.0000
Cr 0.6710 0.6710 0.0000
Zn 0.3333 0.3333 0.0000

Computed properties:
- DFT formation energy: 0.21 eV/atom
- Spin magnetization: 0.000 μB/cell



Entry 2:
The following is a DFT calculation (GGA-PBE) of crystalline LuScHg at its relaxed geometry.

Cell lengths 3.4909, 4.9589, 4.9589 Å; angles 120.00, 90.00, 90.00 degrees
Fractional positions:
Sc 0.1100 0.0000 0.0000
Lu 0.6376 0.6667 0.3333
Hg 0.2524 0.3333 0.6667

Computed properties:
- DFT formation energy: -0.18 eV/atom
- Spin magnetization: 0.012 μB/cell



Entry 3:
The following is a DFT calculation (GGA-PBE) of crystalline Sm3Sc7Ir4 at its relaxed geometry.

Cell lengths 4.4620, 8.6229, 8.9850 Å; angles 74.43, 75.62, 75.01 degrees
Fractional positions:
Sm 0.3061 0.1909 0.1969
Sm 0.6939 0.8091 0.8031
Sm 0.0000 0.5000 0.5000
Sc 0.3058 0.8578 0.5307
Sc 0.4913 0.2299 0.7874
Sc 0.8342 0.4115 0.9200
Sc 0.6942 0.1422 0.4693
Sc 0.1658 0.5885 0.0799
Sc 0.0000 0.0000 0.0000
Sc 0.5087 0.7701 0.2126
Ir 0.6730 0.4330 0.2210
Ir 0.3270 0.5670 0.7790
Ir 0.8954 0.8673 0.3419
Ir 0.1046 0.1327 0.6581

Computed properties:
- DFT formation energy: -0.59 eV/atom
- Spin magnetization: 0.001 μB/cell



Entry 4:
The following is a DFT calculation (GGA-PBE) of crystalline InP3Br at its relaxed geometry.

Cell lengths 4.8949, 4.8949, 4.8949 Å; angles 90.00, 90.00, 90.00 degrees
Fractional positions:
P 0.0000 0.5000 0.0000
P 0.0000 0.0000 0.5000
P 0.5000 0.0000 0.0000
Br 0.0000 0.0000 0.0000
In 0.5000 0.5000 0.5000

Computed properties:
- E_form (uncorrected): 1291 meV per atom
- Spin magnetization: 0.000 μB/cell



Which formula does entry 1 have?
ZnCr2



Look up the spin magnetization of the fourth one.
0.000 μB/cell



Repeat the third record exactly.
The following is a DFT calculation (GGA-PBE) of crystalline Sm3Sc7Ir4 at its relaxed geometry.

Cell lengths 4.4620, 8.6229, 8.9850 Å; angles 74.43, 75.62, 75.01 degrees
Fractional positions:
Sm 0.3061 0.1909 0.1969
Sm 0.6939 0.8091 0.8031
Sm 0.0000 0.5000 0.5000
Sc 0.3058 0.8578 0.5307
Sc 0.4913 0.2299 0.7874
Sc 0.8342 0.4115 0.9200
Sc 0.6942 0.1422 0.4693
Sc 0.1658 0.5885 0.0799
Sc 0.0000 0.0000 0.0000
Sc 0.5087 0.7701 0.2126
Ir 0.6730 0.4330 0.2210
Ir 0.3270 0.5670 0.7790
Ir 0.8954 0.8673 0.3419
Ir 0.1046 0.1327 0.6581

Computed properties:
- DFT formation energy: -0.59 eV/atom
- Spin magnetization: 0.001 μB/cell